VASP calculation (PBE-GGA) on a relaxed KLaTe crystal.

The space group is P3m1 (No. 156) and the conventional cell measures 4.4663, 4.4663 and 8.0853 Å, with angles of 90.00, 90.00 and 120.00 degrees. The asymmetric unit holds K at (0.0000, 0.0000, 0.0000), La at (0.6667, 0.3333, 0.4765) and Te at (0.3333, 0.6667, 0.7032).

The uncorrected formation energy comes out at -2.15 eV/f.u. The relative energy among the computed polymorphs is 17.3 kJ/mol of atoms.